Record 1
# PBE-GGA HfH2RhO, relaxed
# Crystal system: tetragonal
# E: -6.2025 eV/atom
# Fermi-level density of states: 2.33 states/eV per cell
data_HfH2RhO
_chemical_formula_sum 'Hf1 H2 Rh1 O1'
_cell_length_a 3.7752
_cell_length_b 3.7752
_cell_length_c 4.0165
_cell_angle_alpha 90.00
_cell_angle_beta 90.00
_cell_angle_gamma 90.00
_symmetry_space_group_name_H-M 'P 4/m m m'
_symmetry_Int_Tables_number 123
_symmetry_space_group_name_Hall '-P 4 2'
loop_
_atom_site_label
_atom_site_type_symbol
_atom_site_fract_x
_atom_site_fract_y
_atom_site_fract_z
Hf1 Hf 0.0000 0.0000 0.0000
H1 H 0.0000 0.5000 0.0000
Rh1 Rh 0.5000 0.5000 0.5000
O1 O 0.0000 0.0000 0.5000

***

Record 2
# PBE-GGA CaLa3Mo, relaxed
# Crystal system: cubic
# E: -4.0096 eV/atom
# Fermi-level density of states: 4.82 states/eV per cell
# Energy above the most stable polymorph in this dataset: 1.299 eV per atom
data_CaLa3Mo
_chemical_formula_sum 'Ca1 La3 Mo1'
_cell_length_a 5.7556
_cell_length_b 5.7556
_cell_length_c 5.7556
_cell_angle_alpha 90.00
_cell_angle_beta 90.00
_cell_angle_gamma 90.00
_symmetry_space_group_name_H-M 'P m -3 m'
_symmetry_Int_Tables_number 221
_symmetry_space_group_name_Hall '-P 4 2 3'
loop_
_atom_site_label
_atom_site_type_symbol
_atom_site_fract_x
_atom_site_fract_y
_atom_site_fract_z
Ca1 Ca 0.0000 0.0000 0.0000
La1 La 0.0000 0.0000 0.5000
Mo1 Mo 0.5000 0.5000 0.5000

***

Record 3
# PBE-GGA FeAsSeN2, relaxed
# Crystal system: tetragonal
# E: -5.7217 eV/atom
# Uncorrected formation energy: 0.928 eV per atom
# Fermi-level density of states: 4.77 states/eV per cell
# Energy above the most stable polymorph in this dataset: 0.000 eV per atom
data_FeAsSeN2
_chemical_formula_sum 'Fe1 As1 Se1 N2'
_cell_length_a 3.6560
_cell_length_b 3.6560
_cell_length_c 5.1827
_cell_angle_alpha 90.00
_cell_angle_beta 90.00
_cell_angle_gamma 90.00
_symmetry_space_group_name_H-M 'P 4/m m m'
_symmetry_Int_Tables_number 123
_symmetry_space_group_name_Hall '-P 4 2'
loop_
_atom_site_label
_atom_site_type_symbol
_atom_site_fract_x
_atom_site_fract_y
_atom_site_fract_z
Fe1 Fe 0.0000 0.0000 0.0000
As1 As 0.5000 0.5000 0.5000
Se1 Se 0.0000 0.0000 0.5000
N1 N 0.0000 0.5000 0.0000

***

Record 4
# PBE-GGA TaTl2Cr, relaxed
# Crystal system: orthorhombic
# E: -5.8203 eV/atom
# Fermi-level density of states: 6.83 states/eV per cell
# Energy above the most stable polymorph in this dataset: 0.241 eV per atom
data_TaTl2Cr
_chemical_formula_sum 'Ta2 Tl4 Cr2'
_cell_length_a 3.1501
_cell_length_b 5.3082
_cell_length_c 9.8561
_cell_angle_alpha 90.00
_cell_angle_beta 90.00
_cell_angle_gamma 90.00
_symmetry_space_group_name_H-M 'I m m m'
_symmetry_Int_Tables_number 71
_symmetry_space_group_name_Hall '-I 2 2'
loop_
_atom_site_label
_atom_site_type_symbol
_atom_site_fract_x
_atom_site_fract_y
_atom_site_fract_z
Ta1 Ta 0.0000 0.0000 0.0000
Tl1 Tl 0.0000 0.5000 0.2389
Cr1 Cr 0.0000 0.0000 0.5000

***

- Which value of Fermi-level density of states does entry 4 give?
  6.83 states/eV per cell

***

- The lowest E belongs to which entry?
  HfH2RhO

***

- The lowest E belongs to which entry?
  HfH2RhO

***

- Which value of E does entry 2 give?
  -4.0096 eV/atom